Run i
## KScAu2 (GGA-PBEsol)

Data for KScAu2 after structural relaxation.

Unit cell a=3.4162 b=3.4162 c=7.9611 alpha=90.00 beta=90.00 gamma=90.00
Closest atoms and distances in Å follow each position.
Atoms (fractional coordinates):
K: 0.0000 0.0000 0.0000  4 K 3.42, 8 Au 3.49
Sc: 0.0000 0.0000 0.5000  8 Au 2.82
Au: 0.5000 0.5000 0.3163  4 Sc 2.82, 1 Au 2.92
Au: 0.5000 0.5000 0.6837  4 Sc 2.82, 1 Au 2.92

Properties
**N(E_F)**: 2.7 states/eV per cell
**Space group**: No. 123


Run ii
## KScAu2 (GGA-PBEsol)

Data for KScAu2 after structural relaxation.

Unit cell a=4.9531 b=4.9531 c=4.9531 alpha=120.01 beta=119.92 gamma=90.06
Closest atoms and distances in Å follow each position.
Atoms (fractional coordinates):
K: 0.0000 0.0000 0.0000  8 Au 3.03
Sc: 0.5000 0.5000 0.0000  8 Au 3.03-3.04
Au: 0.2505 0.7505 0.5000  4 Sc 3.03-3.04, 4 K 3.03
Au: 0.7495 0.2495 0.5000  4 Sc 3.03-3.04, 4 K 3.03

Properties
**N(E_F)**: 2.8 states/eV per cell
**Space group**: No. 71


Ranked by calculated energy, most stable first: run i, run ii.